First-principles (PBE-GGA) data for crystalline Li2YTe at its relaxed geometry, as listed in Alexandria via LeMat-Bulk.

Cell lengths 6.037, 11.783, 4.139 Å; angles 90.00, 133.24, 90.00 degrees
Space group C2/m (No. 12)
One atom of each set of equivalent atoms:
Li (0.250, 0.250, 0.000)
Y (0.000, 0.000, 0.500)
Te (0.000, 0.500, 0.500)

The total energy comes out at -3.7763 eV per atom. The value obtained for the uncorrected formation energy is -1.7 eV/f.u. The magnetization is 0.00 μB/atom. Its polymorph energy (0 for the lowest one) is 170 meV/atom.